Run one
# FeRuBr2

An optimized crystal structure of FeRuBr2 (PBE, the Alexandria database). Values from VASP.

Cell and atoms, written as Quantum ESPRESSO input:
```
&SYSTEM
  ibrav = 0, nat = 4, ntyp = 3
/
ATOMIC_SPECIES
Ru 101.07 Ru.upf
Fe 55.84 Fe.upf
Br 79.90 Br.upf
CELL_PARAMETERS angstrom
5.3683 -0.0267 0.0388
0.9385 5.2857 -0.0388
-1.8878 -4.1472 2.8386
ATOMIC_POSITIONS crystal
Ru 0.2500 0.7500 0.5000
Fe 0.7500 0.2500 0.5000
Br 0.5039 0.5039 0.0000
Br 0.9961 0.9961 0.0000
```

Crystal system: orthorhombic
Theoretical density (g/cm3): 6.58
DOS at the Fermi energy (states/eV per cell): 4.8

---

Run two
# FeRuBr2

An optimized crystal structure of FeRuBr2 (PBE, the Alexandria database). Values from VASP.

Cell and atoms, written as Quantum ESPRESSO input:
```
&SYSTEM
  ibrav = 0, nat = 4, ntyp = 3
/
ATOMIC_SPECIES
Br 79.90 Br.upf
Fe 55.84 Fe.upf
Ru 101.07 Ru.upf
CELL_PARAMETERS angstrom
8.1964 0.2050 -0.0818
6.6127 4.8471 0.0818
-7.3077 -2.8101 2.4354
ATOMIC_POSITIONS crystal
Br 0.0064 0.0064 0.0000
Fe 0.4280 0.4280 0.0000
Br 0.7505 0.2505 0.5000
Ru 0.3151 0.8151 0.5000
```

Crystal system: orthorhombic
Theoretical density (g/cm3): 5.60
DOS at the Fermi energy (states/eV per cell): 2.4

---

Least stable: run one

---

Run one
# CuP2Ru

An optimized crystal structure of CuP2Ru (PBE, the Alexandria database). Values from VASP.

Cell and atoms, written as Quantum ESPRESSO input:
```
&SYSTEM
  ibrav = 0, nat = 4, ntyp = 3
/
ATOMIC_SPECIES
Ru 101.07 Ru.upf
P 30.97 P.upf
Cu 63.55 Cu.upf
CELL_PARAMETERS angstrom
-5.3262 2.7965 -3.8725
-3.6578 1.4084 -5.9852
-5.6679 -0.1728 -4.3625
ATOMIC_POSITIONS crystal
Ru 0.5092 0.5092 0.5092
P 0.2490 0.2490 0.2490
P 0.0007 0.0007 0.0007
Cu 0.7410 0.7410 0.7410
```

Crystal system: trigonal
Theoretical density (g/cm3): 6.83
DOS at the Fermi energy (states/eV per cell): 2.8

---

Run two
# CuP2Ru

An optimized crystal structure of CuP2Ru (PBE, the Alexandria database). Values from VASP.

Cell and atoms, written as Quantum ESPRESSO input:
```
&SYSTEM
  ibrav = 0, nat = 4, ntyp = 3
/
ATOMIC_SPECIES
Ru 101.07 Ru.upf
P 30.97 P.upf
Cu 63.55 Cu.upf
CELL_PARAMETERS angstrom
4.8090 -0.0086 0.0000
2.1439 4.3046 0.0000
-3.4764 -2.1480 2.5351
ATOMIC_POSITIONS crystal
Ru 0.5000 0.5000 0.0000
P 0.0000 0.0000 0.0000
P 0.2500 0.7500 0.5000
Cu 0.7500 0.2500 0.5000
```

Crystal system: tetragonal
Theoretical density (g/cm3): 7.16
DOS at the Fermi energy (states/eV per cell): 2.0

---

Least stable: run two